# HfAlPd2 | OQMD | PBE | optimized geometry
# - Total moment: 0.01 μB per cell
# - DFT total energy: -6.780 eV/atom
data_HfAlPd2
_cell_length_a 3.0062
_cell_length_b 3.0062
_cell_length_c 7.1193
_cell_angle_alpha 90.00
_cell_angle_beta 90.00
_cell_angle_gamma 90.00
_symmetry_space_group_name_H-M 'P 4/m m m'
_symmetry_Int_Tables_number 123
_symmetry_space_group_name_Hall '-P 4 2'
loop_
_atom_site_label
_atom_site_type_symbol
_atom_site_fract_x
_atom_site_fract_y
_atom_site_fract_z
_atom_site_occupancy
Hf1 Hf 0.0000 0.0000 0.0000 1
Al1 Al 0.0000 0.0000 0.5000 1
Pd1 Pd 0.5000 0.5000 0.2830 1


# Nb2CoC | OQMD | PBE | optimized geometry
# - Total moment: 1.36 μB per cell
# - DFT total energy: -9.306 eV/atom
data_Nb2CoC
_cell_length_a 3.0984
_cell_length_b 3.0984
_cell_length_c 12.9149
_cell_angle_alpha 90.00
_cell_angle_beta 90.00
_cell_angle_gamma 120.00
_symmetry_space_group_name_H-M 'P 63/m m c'
_symmetry_Int_Tables_number 194
_symmetry_space_group_name_Hall '-P 6c 2c'
loop_
_atom_site_label
_atom_site_type_symbol
_atom_site_fract_x
_atom_site_fract_y
_atom_site_fract_z
_atom_site_occupancy
Nb1 Nb 0.3333 0.6667 0.0989 1
Co1 Co 0.3333 0.6667 0.7500 1
C1 C 0.0000 0.0000 0.0000 1


# Tm2ReSi2BW | OQMD | PBE | optimized geometry
# - Total moment: 0.00 μB per cell
# - DFT total energy: -7.954 eV/atom
data_Tm2ReSi2BW
_cell_length_a 10.8767
_cell_length_b 3.9607
_cell_length_c 6.9120
_cell_angle_alpha 90.00
_cell_angle_beta 124.93
_cell_angle_gamma 90.00
_symmetry_space_group_name_H-M 'C 1 m 1'
_symmetry_Int_Tables_number 8
loop_
_symmetry_equiv_pos_as_xyz
'x,y,z'
'x,-y,z'
'x+1/2,y+1/2,z'
'x+1/2,-y+1/2,z'
loop_
_atom_site_label
_atom_site_type_symbol
_atom_site_fract_x
_atom_site_fract_y
_atom_site_fract_z
_atom_site_occupancy
Tm1 Tm 0.0000 0.0000 0.0000 1
Tm2 Tm 0.1544 0.0000 0.6046 1
Re1 Re 0.3592 0.0000 0.2124 1
Si1 Si 0.2135 0.5000 0.9648 1
Si2 Si 0.4491 0.0000 0.6426 1
B1 B 0.0730 0.5000 0.2997 1
W1 W 0.2934 0.5000 0.3917 1


# FeHgH8C14S4N6 | OQMD | PBE | optimized geometry
# - Total moment: 0.01 μB per cell
# - DFT total energy: -6.727 eV/atom
data_FeHgH8C14S4N6
_cell_length_a 8.6875
_cell_length_b 8.7222
_cell_length_c 11.7419
_cell_angle_alpha 95.52
_cell_angle_beta 94.72
_cell_angle_gamma 95.36
_symmetry_space_group_name_H-M 'P -1'
_symmetry_Int_Tables_number 2
loop_
_symmetry_equiv_pos_as_xyz
'x,y,z'
'-x,-y,-z'
loop_
_atom_site_label
_atom_site_type_symbol
_atom_site_fract_x
_atom_site_fract_y
_atom_site_fract_z
_atom_site_occupancy
Fe1 Fe 0.0000 0.0000 0.0000 1
Fe2 Fe 0.5000 0.5000 0.5000 1
Hg1 Hg 0.0503 0.4478 0.7495 1
H1 H 0.2185 0.0948 0.2029 1
H2 H 0.2243 0.7978 0.9063 1
H3 H 0.2281 0.9871 0.4744 1
H4 H 0.2953 0.7222 0.4110 1
H5 H 0.3604 0.1277 0.6554 1
H6 H 0.3748 0.1449 0.8478 1
H7 H 0.4067 0.2809 0.2953 1
H8 H 0.4875 0.7272 0.9692 1
C1 C 0.0507 0.0925 0.7633 1
C2 C 0.1107 0.3394 0.0795 1
C3 C 0.1604 0.3906 0.4199 1
C4 C 0.2847 0.0172 0.1529 1
C5 C 0.2862 0.8494 0.9873 1
C6 C 0.3125 0.9332 0.5270 1
C7 C 0.3484 0.7853 0.4912 1
C8 C 0.3845 0.0099 0.6292 1
C9 C 0.4066 0.4488 0.7367 1
C10 C 0.4332 0.8116 0.0228 1
C11 C 0.4338 0.9879 0.1937 1
C12 C 0.4831 0.2148 0.3449 1
C13 C 0.4894 0.9351 0.6961 1
C14 C 0.4916 0.1183 0.8740 1
S1 S 0.0204 0.6744 0.6240 1
S2 S 0.0376 0.1713 0.6419 1
S3 S 0.1767 0.5204 0.1222 1
S4 S 0.3257 0.4611 0.8582 1
N1 N 0.0568 0.0392 0.8520 1
N2 N 0.0632 0.2097 0.0493 1
N3 N 0.2123 0.9509 0.0514 1
N4 N 0.2901 0.4369 0.4514 1
N5 N 0.4501 0.7118 0.5539 1
N6 N 0.4607 0.4431 0.6477 1


# Ta3B2S | OQMD | PBE | optimized geometry
# - Total moment: 0.00 μB per cell
# - DFT total energy: -9.595 eV/atom
data_Ta3B2S
_cell_length_a 3.3284
_cell_length_b 3.3284
_cell_length_c 16.8355
_cell_angle_alpha 90.00
_cell_angle_beta 90.00
_cell_angle_gamma 120.00
_symmetry_space_group_name_H-M 'P 63/m m c'
_symmetry_Int_Tables_number 194
_symmetry_space_group_name_Hall '-P 6c 2c'
loop_
_atom_site_label
_atom_site_type_symbol
_atom_site_fract_x
_atom_site_fract_y
_atom_site_fract_z
_atom_site_occupancy
Ta1 Ta 0.0000 0.0000 0.0000 1
Ta2 Ta 0.3333 0.6667 0.1455 1
B1 B 0.3333 0.6667 0.5775 1
S1 S 0.0000 0.0000 0.2500 1


# HoTmGe2Pt4 | OQMD | PBE | optimized geometry
# - Total moment: 0.00 μB per cell
# - Relative energy among the computed polymorphs: 0.00 eV per formula unit
data_HoTmGe2Pt4
_cell_length_a 7.2141
_cell_length_b 3.8665
_cell_length_c 10.3774
_cell_angle_alpha 90.00
_cell_angle_beta 90.00
_cell_angle_gamma 90.00
_symmetry_space_group_name_H-M 'A m m 2'
_symmetry_Int_Tables_number 38
loop_
_symmetry_equiv_pos_as_xyz
'x,y,z'
'-x,-y,z'
'-x,y,z'
'x,-y,z'
'x,y+1/2,z+1/2'
'-x,-y+1/2,z+1/2'
'-x,y+1/2,z+1/2'
'x,-y+1/2,z+1/2'
loop_
_atom_site_label
_atom_site_type_symbol
_atom_site_fract_x
_atom_site_fract_y
_atom_site_fract_z
_atom_site_occupancy
Ho1 Ho 0.0000 0.0000 0.0000 1
Tm1 Tm 0.5000 0.0000 0.9039 1
Ge1 Ge 0.0000 0.0000 0.7175 1
Ge2 Ge 0.5000 0.0000 0.1860 1
Pt1 Pt 0.2002 0.0000 0.3169 1
Pt2 Pt 0.3012 0.0000 0.5858 1


# BeSiTeMo | OQMD | PBE | optimized geometry
# - Total moment: 0.08 μB per cell
# - Relative energy among the computed polymorphs: 0.00 eV per formula unit
data_BeSiTeMo
_cell_length_a 6.3572
_cell_length_b 6.3572
_cell_length_c 6.3572
_cell_angle_alpha 90.00
_cell_angle_beta 90.00
_cell_angle_gamma 90.00
_symmetry_space_group_name_H-M 'F -4 3 m'
_symmetry_Int_Tables_number 216
_symmetry_space_group_name_Hall 'F -4 2 3'
loop_
_atom_site_label
_atom_site_type_symbol
_atom_site_fract_x
_atom_site_fract_y
_atom_site_fract_z
_atom_site_occupancy
Be1 Be 0.0000 0.0000 0.0000 1
Si1 Si 0.2500 0.2500 0.7500 1
Te1 Te 0.2500 0.2500 0.2500 1
Mo1 Mo 0.0000 0.0000 0.5000 1


# HfTlAgSe3 | OQMD | PBE | optimized geometry
# - Total moment: 0.02 μB per cell
# - Relative energy among the computed polymorphs: 0.25 eV per formula unit
data_HfTlAgSe3
_cell_length_a 3.9087
_cell_length_b 14.6406
_cell_length_c 10.4950
_cell_angle_alpha 90.00
_cell_angle_beta 90.00
_cell_angle_gamma 90.00
_symmetry_space_group_name_H-M 'C m c m'
_symmetry_Int_Tables_number 63
_symmetry_space_group_name_Hall '-C 2c 2'
loop_
_atom_site_label
_atom_site_type_symbol
_atom_site_fract_x
_atom_site_fract_y
_atom_site_fract_z
_atom_site_occupancy
Hf1 Hf 0.0000 0.0000 0.0000 1
Tl1 Tl 0.0000 0.2495 0.2500 1
Ag1 Ag 0.0000 0.4456 0.7500 1
Se1 Se 0.0000 0.0679 0.7500 1
Se2 Se 0.0000 0.3715 0.5268 1


# PmSmW | OQMD | PBE | optimized geometry
# - Total moment: 0.03 μB per cell
# - Formation energy: 840 meV/atom
# - Relative energy among the computed polymorphs: 0.00 eV per formula unit
data_PmSmW
_cell_length_a 6.9853
_cell_length_b 6.9853
_cell_length_c 6.9853
_cell_angle_alpha 90.00
_cell_angle_beta 90.00
_cell_angle_gamma 90.00
_symmetry_space_group_name_H-M 'F -4 3 m'
_symmetry_Int_Tables_number 216
_symmetry_space_group_name_Hall 'F -4 2 3'
loop_
_atom_site_label
_atom_site_type_symbol
_atom_site_fract_x
_atom_site_fract_y
_atom_site_fract_z
_atom_site_occupancy
Pm1 Pm 0.0000 0.0000 0.0000 1
Sm1 Sm 0.0000 0.0000 0.5000 1
W1 W 0.2500 0.2500 0.2500 1


# Li4ZnIn2Pd | OQMD | PBE | optimized geometry
# - DFT total energy: -2.824 eV/atom
data_Li4ZnIn2Pd
_cell_length_a 4.4949
_cell_length_b 4.4949
_cell_length_c 6.4225
_cell_angle_alpha 90.00
_cell_angle_beta 90.00
_cell_angle_gamma 90.00
_symmetry_space_group_name_H-M 'P -4 m 2'
_symmetry_Int_Tables_number 115
loop_
_symmetry_equiv_pos_as_xyz
'x,y,z'
'y,-x,-z'
'-x,-y,z'
'-y,x,-z'
'-x,y,z'
'-y,-x,-z'
'x,-y,z'
'y,x,-z'
loop_
_atom_site_label
_atom_site_type_symbol
_atom_site_fract_x
_atom_site_fract_y
_atom_site_fract_z
_atom_site_occupancy
Li1 Li 0.0000 0.0000 0.0000 1
Li2 Li 0.0000 0.5000 0.2462 1
Li3 Li 0.5000 0.5000 0.5000 1
Zn1 Zn 0.0000 0.0000 0.5000 1
In1 In 0.0000 0.5000 0.7546 1
Pd1 Pd 0.5000 0.5000 0.0000 1


# CuTcGeAu | OQMD | PBE | optimized geometry
# - Total moment: 0.00 μB per cell
# - Relative energy among the computed polymorphs: 0.00 eV per formula unit
data_CuTcGeAu
_cell_length_a 6.2344
_cell_length_b 6.2344
_cell_length_c 6.2344
_cell_angle_alpha 90.00
_cell_angle_beta 90.00
_cell_angle_gamma 90.00
_symmetry_space_group_name_H-M 'F -4 3 m'
_symmetry_Int_Tables_number 216
_symmetry_space_group_name_Hall 'F -4 2 3'
loop_
_atom_site_label
_atom_site_type_symbol
_atom_site_fract_x
_atom_site_fract_y
_atom_site_fract_z
_atom_site_occupancy
Cu1 Cu 0.0000 0.0000 0.0000 1
Tc1 Tc 0.0000 0.0000 0.5000 1
Ge1 Ge 0.2500 0.2500 0.7500 1
Au1 Au 0.2500 0.2500 0.2500 1